Pr2VMoN5 (PBE, optimized geometry); formation energy (no corrections) = -838 kJ/mol of formula units; symmetry = Cmc2_1; total energy = -0.3259 hartree per atom
1.0
1.694 -7.036 0.000
1.694 7.036 0.000
0.000 0.000 10.093
Pr V Mo N
4 2 2 10
Direct
0.117 0.883 0.500 Pr
0.136 0.864 0.115 Pr
0.864 0.136 0.615 Pr
0.883 0.117 0.000 Pr
0.446 0.554 0.263 V
0.554 0.446 0.763 V
0.215 0.785 0.832 Mo
0.785 0.215 0.332 Mo
0.046 0.954 0.846 N
0.294 0.706 0.457 N
0.321 0.679 0.193 N
0.347 0.653 0.820 N
0.498 0.502 0.607 N
0.502 0.498 0.107 N
0.653 0.347 0.320 N
0.679 0.321 0.693 N
0.706 0.294 0.957 N
0.954 0.046 0.346 N